Cs2RbCaHg | PBE | relaxed

extended XYZ file:
```
5
Lattice="7.445 0.000 0.000 0.000 7.445 0.000 0.000 0.000 6.327" Properties=species:S:1:pos:R:3 pbc="T T T"
Cs 0.000 3.722 0.000
Cs 3.722 0.000 0.000
Rb 0.000 0.000 3.164
Ca 3.722 3.722 3.164
Hg 3.722 3.722 0.000
```

Summary:
Space group: No. 123
Energy of formation in eV/f.u.: -0.08
VASP energy in eV per atom: -1.01